(1)
12
Lattice="4.317 0.000 -0.001 0.000 4.318 0.000 -2.160 -2.160 9.299" Properties=species:S:1:pos:R:3 comment="BaLi2Np2O7, relaxed, DFT PBE" m_tot_mub_per_cell=4.0 space_group="C2/m, No. 12" pbc="T T T"
O -0.001 -0.002 9.298
O 2.158 0.000 2.030
O -0.001 2.158 7.267
O 0.000 0.000 5.097
O 2.157 2.158 4.201
O 2.157 0.000 7.270
O 0.000 2.158 2.027
Li 0.003 2.155 4.654
Li 2.154 0.003 4.645
Ba 0.000 0.001 0.000
Np -0.001 -0.001 7.104
Np 2.158 2.159 2.194

(2)
8
Lattice="-1.923 2.372 4.673 -0.184 -5.005 2.465 2.654 -0.825 4.844" Properties=species:S:1:pos:R:3 comment="CaHRh2, relaxed, DFT PBE" m_tot_mub_per_cell=0.0 space_group="Fd-3m, No. 227" pbc="T T T"
Ca 0.000 0.000 0.000
Ca -0.161 0.115 6.543
Rh -0.172 -2.445 4.503
Rh -0.081 0.058 3.272
Rh 0.193 -1.672 9.262
Rh 1.155 -2.856 6.925
H 0.708 -3.573 5.439
H -1.053 -1.316 3.569

(3)
5
Lattice="-1.023 -3.456 -2.752 4.833 -2.006 0.723 -1.518 -2.378 3.550" Properties=species:S:1:pos:R:3 comment="BeAsSeBr2, relaxed, DFT PBE" m_tot_mub_per_cell=0.7 space_group="P4/mmm, No. 123" pbc="T T T"
Be 0.000 0.000 0.000
Br -0.511 -1.728 -1.376
Br -0.759 -1.189 1.775
Se 1.146 -3.920 0.761
As 2.416 -1.003 0.361

(4)
20
Lattice="7.447 0.000 -0.232 0.000 7.373 0.000 -0.762 0.000 9.820" Properties=species:S:1:pos:R:3 comment="CaGeSe3, relaxed, DFT PBE" m_tot_mub_per_cell=0.0 space_group="P2_1/c, No. 14" pbc="T T T"
Se 5.714 0.371 7.771
Se 0.971 7.002 1.816
Se 2.237 1.350 5.603
Se 2.372 3.316 2.978
Se 6.342 2.336 0.577
Se 6.221 2.039 4.018
Se 0.464 5.334 5.570
Se 4.448 6.023 3.985
Se 4.569 5.725 0.544
Se 2.116 1.648 9.044
Se 0.344 5.037 9.011
Se 4.314 4.057 6.610
Ge 2.416 4.941 1.132
Ge 5.759 6.118 5.926
Ge 0.927 1.255 3.662
Ge 4.270 2.432 8.456
Ca 0.035 2.721 6.997
Ca 6.651 4.652 2.591
Ca 2.546 6.408 7.617
Ca 4.139 0.965 1.971

(5)
4
Lattice="-1.084 3.583 8.269 0.003 1.161 9.003 1.651 3.257 8.310" Properties=species:S:1:pos:R:3 comment="MoIr2Ru, relaxed, DFT PBE" formation_enthalpy_0k_mev_per_atom=-41 m_tot_mub_per_cell=0.0 space_group="R-3m, No. 166" pbc="T T T"
Ir 0.000 0.006 0.019
Ir 0.285 3.995 12.772
Mo 0.143 2.000 6.396
Ru 0.428 6.001 19.187

(6)
7
Lattice="4.400 0.000 0.000 0.000 7.618 -0.179 0.000 0.087 8.494" Properties=species:S:1:pos:R:3 comment="U2TlTe4, relaxed, DFT PBE" m_tot_mub_per_cell=0.1 space_group="P2/m, No. 10" pbc="T T T"
Te 0.000 2.609 6.668
Te 0.000 5.095 1.648
Te 2.200 1.318 1.776
Te 2.200 6.387 6.540
U 2.200 3.809 -0.089
U 0.000 0.000 0.000
Tl 0.000 0.043 4.247

(7)
8
Lattice="-1.922 3.340 1.390 -6.940 -3.226 -1.846 -2.207 -3.631 5.673" Properties=species:S:1:pos:R:3 comment="Pm4RuPtCl2, relaxed, DFT PBE" m_tot_mub_per_cell=0.0 space_group="P2/m, No. 10" pbc="T T T"
Cl -2.065 -0.146 3.532
Cl -2.207 -3.631 5.673
Pt -4.431 0.057 -0.228
Pm -6.552 -5.014 2.986
Pm -6.473 -1.606 0.946
Pm -4.517 1.497 2.232
Pm -4.597 -1.911 4.272
Ru -4.574 -3.429 1.914

(8)
12
Lattice="4.641 0.892 2.437 1.029 5.150 0.540 0.228 0.446 5.204" Properties=species:S:1:pos:R:3 comment="HoH6Pd5, relaxed, DFT PBE" m_tot_mub_per_cell=0.0 space_group="C2/m, No. 12" pbc="T T T"
H 4.476 2.250 5.430
H 3.300 4.683 4.812
H 1.470 1.903 0.772
H 4.428 4.585 7.410
H 1.421 4.237 2.752
H 2.598 1.805 3.369
Pd 1.407 3.021 4.209
Pd 2.835 3.021 1.489
Pd 2.635 5.596 3.119
Pd 3.262 0.892 5.062
Pd 4.491 3.467 3.973
Ho 0.000 0.000 0.000

(9)
5
Lattice="-2.249 3.469 0.200 -2.716 -1.903 2.476 2.168 1.214 3.310" Properties=species:S:1:pos:R:3 comment="BeSi3N, relaxed, DFT PBE" m_tot_mub_per_cell=0.0 space_group="Pm-3m, No. 221" pbc="T T T"
Si -1.124 1.735 0.100
Si -1.358 -0.952 1.238
Si 1.084 0.607 1.655
Be 0.000 0.000 0.000
N -1.398 1.390 2.993

(10)
14
Lattice="-5.416 -4.798 -4.912 8.241 -0.963 -2.783 -0.550 -2.678 8.325" Properties=species:S:1:pos:R:3 comment="Ba4SbP2, relaxed, DFT PBE" m_tot_mub_per_cell=0.0 space_group="Fdd2, No. 43" pbc="T T T"
Ba 0.385 -3.384 -1.450
Ba -2.314 -5.842 -3.859
Ba 3.689 -4.062 -4.520
Ba 3.494 -5.381 -0.348
Ba 0.854 -2.941 4.905
Ba 4.965 -3.361 3.465
Ba -0.380 -6.491 2.326
Ba -1.598 -2.292 2.001
Sb -2.278 -5.178 -0.219
Sb 0.000 -0.002 0.000
P 1.202 -5.911 -3.284
P 1.780 -3.968 1.989
P -2.131 -4.834 4.467
P 3.701 -2.164 -1.914

(11)
12
Lattice="-1.051 4.967 4.832 -0.355 -6.766 1.795 7.654 0.629 -0.675" Properties=species:S:1:pos:R:3 comment="K3Ho2SnS6, relaxed, DFT PBE" m_tot_mub_per_cell=0.0 space_group="C2/m, No. 12" pbc="T T T"
K 2.891 3.342 3.993
K 3.357 -4.512 1.959
K 3.124 -0.585 2.976
S 4.924 1.092 5.042
S 1.091 1.670 1.927
S 0.506 -1.190 4.713
S 5.743 0.020 1.239
S 1.324 -2.261 0.910
S 5.158 -2.840 4.024
Ho -0.587 -2.856 2.807
Ho -0.819 1.058 3.820
Sn 0.000 0.000 0.000

(12)
3
Lattice="4.130 0.000 0.000 -2.065 3.577 0.000 0.000 0.000 3.229" Properties=species:S:1:pos:R:3 comment="ZrBeAl, relaxed, DFT PBE" formation_enthalpy_0k_mev_per_atom=-385 m_tot_mub_per_cell=0.0 space_group="P-6m2, No. 187" pbc="T T T"
Al 0.000 0.000 0.539
Zr 2.065 1.192 2.153
Be 0.000 2.385 0.537

(13)
4
Lattice="2.802 0.004 0.000 -1.062 2.593 0.000 0.000 0.000 9.059" Properties=species:S:1:pos:R:3 comment="LiMo2Se, relaxed, DFT PBE" m_tot_mub_per_cell=0.0 space_group="Cmmm, No. 65" pbc="T T T"
Mo 0.000 0.000 4.384
Mo 0.000 0.000 0.145
Li 0.870 1.298 6.794
Se 0.870 1.298 2.265

Number 1: calculated total energy -99.22 eV/cell. Number 2: calculated total energy -42.68 eV/cell. Number 3: calculated total energy -13.61 eV/cell. Number 4: calculated total energy -84.93 eV/cell. Number 5: calculated total energy -37.99 eV/cell. Number 6: calculated total energy -41.20 eV/cell. Number 7: calculated total energy -47.19 eV/cell. Number 8: calculated total energy -54.41 eV/cell. Number 9: calculated total energy -21.21 eV/cell. Number 10: calculated total energy -58.44 eV/cell. Number 11: calculated total energy -59.09 eV/cell. Number 12: calculated total energy -17.17 eV/cell. Number 13: calculated total energy -24.64 eV/cell.